Entry 1:
4
Lattice="5.040 0.004 0.016 -2.381 4.442 0.016 0.570 0.953 2.473" Properties=species:S:1:pos:R:3 comment="GGA-PBE ScFe2Cu, optimized geometry" final_energy_ev_per_cell=-26.71 spacegroup="C2/m (12)" magmom_total_mub_per_atom=0.957 e_form_mev_per_atom=161 n_ef_per_ev_cell=3.84 pbc="T T T"
Sc 2.805 0.479 1.245
Fe 0.000 0.000 0.000
Cu -0.905 2.698 1.245
Fe 1.330 2.223 0.016

***

Entry 2:
4
Lattice="-1.496 -2.855 4.220 -3.806 -3.670 -0.491 1.232 -5.157 0.289" Properties=species:S:1:pos:R:3 comment="GGA-PBE AcTmAlGa, optimized geometry" final_energy_ev_per_cell=-16.75 spacegroup="F-43m (216)" magmom_total_mub_per_atom=0.000 e_form_mev_per_atom=-349 n_ef_per_ev_cell=1.01 pbc="T T T"
Ac -2.035 -5.841 2.009
Al -3.053 -8.761 3.013
Tm 0.000 0.000 0.000
Ga -1.018 -2.920 1.004

***

Entry 3:
4
Lattice="-6.386 -1.903 3.703 -6.084 -4.223 1.806 -4.577 -4.204 4.414" Properties=species:S:1:pos:R:3 comment="GGA-PBE LiNi2Se, optimized geometry" final_energy_ev_per_cell=-16.25 spacegroup="R-3m (166)" formation_energy_uncorrected_ev_per_atom=0.18 magmom_total_mub_per_atom=0.000 n_ef_per_ev_cell=4.95 pbc="T T T"
Li -12.786 -7.748 7.442
Ni -16.900 -10.241 9.837
Se -4.262 -2.583 2.481
Ni -8.671 -5.254 5.047